Here is crystalline PuTcSb at its relaxed geometry from Alexandria. Energies are from PBE.

E_form (uncorrected) ... -61 meV per atom
Calculated total energy ... -9.668 eV per atom
Calculated volume ... 21.8 A^3/atom
DOS at the Fermi energy ... 8.8 states/eV/f.u.
Magnetization ... 4.13 μB/cell

Cell: 4.6577 4.6577 3.4798 Å, 90.00 90.00 120.00°
Space group P-6m2 (No. 187)
Inequivalent atoms, fractional coordinates:
1 Pu 0.0000 0.0000 0.0000 (multiplicity 1)
2 Tc 0.3333 0.6667 0.5000 (multiplicity 1)
3 Sb 0.6667 0.3333 0.5000 (multiplicity 1)